This record from the Alexandria database describes Na3Tm3SbS8 after structural relaxation. The functional is PBE-GGA.

Unit cell a=7.819 b=7.820 c=8.112 alpha=118.83 beta=89.98 gamma=120.01
Sites, in units of the cell vectors:
Na 0.000 0.000 0.000
Na 0.000 0.500 0.000
Na 0.500 0.500 0.000
Tm 0.500 0.000 0.500
Tm 0.500 0.500 0.500
Tm 0.000 0.500 0.500
Sb 0.000 0.000 0.500
S 0.259 0.518 0.277
S 0.741 0.482 0.723
S 0.764 0.528 0.281
S 0.236 0.472 0.719
S 0.764 0.017 0.281
S 0.236 0.983 0.719
S 0.253 0.017 0.281
S 0.747 0.983 0.719

- formation energy from raw total energies (kJ per mole of atoms) = -145.09
- space-group type = R-3m